{
  "formula": "CuOsCl2",
  "functional": "PBE",
  "state": "optimized geometry",
  "lattice_angstrom": [[1.5374, 0.8876, 7.6918], [-1.5374, 0.8876, 7.6918], [0.0000, -1.7753, 7.6918]],
  "species": ["Cu", "Os", "Cl", "Cl"],
  "fractional_positions": [[0.0000, 0.0000, 0.0000], [0.5000, 0.5000, 0.5000], [0.2568, 0.2568, 0.2568], [0.7432, 0.7432, 0.7432]],
  "sg": "R-3m",
  "polymorph_energy_mev_per_atom": 594,
  "final_energy_ry_per_atom": -0.289,
  "raw_formation_energy_mev_per_atom": 816.6
}